VASP calculation (PBE) on a geometry-optimized Pu2ThO8 structure.

Computed properties:
- Fermi-level density of states (states/eV/atom) = 0.511
- volume (Å³ per cell) = 336.84
- ΔE_f (raw) (eV per atom) = -2.74
- total DFT energy (no corrections) (eV per cell) = -211.76

Structure (CIF):
```
data_Pu2ThO8
_chemical_formula_sum 'Pu4 Th2 O16'
_cell_length_a 10.156
_cell_length_b 7.498
_cell_length_c 4.459
_cell_angle_alpha 90.00
_cell_angle_beta 97.28
_cell_angle_gamma 90.00
_space_group_name_H-M_alt 'C 1 2/m 1'
_space_group_IT_number 12
loop_
_space_group_symop_operation_xyz
'x,y,z'
'-x,-y,-z'
'-x,y,-z'
'x,-y,z'
'x+1/2,y+1/2,z'
'-x+1/2,-y+1/2,-z'
'-x+1/2,y+1/2,-z'
'x+1/2,-y+1/2,z'
loop_
_atom_site_label
_atom_site_type_symbol
_atom_site_fract_x
_atom_site_fract_y
_atom_site_fract_z
Pu1 Pu 0.133 0.000 0.274
Th1 Th 0.000 0.500 0.000
O1 O 0.079 0.000 0.770
O2 O 0.127 0.252 0.253
O3 O 0.160 0.500 0.722
```